i.
{
  "formula": "Tb4NdEr5",
  "functional": "PBE",
  "state": "relaxed",
  "lattice_angstrom": [[3.373, -0.549, -0.954], [-1.284, 6.538, -1.110], [1.253, 1.186, 14.230]],
  "species": ["Er", "Er", "Er", "Er", "Er", "Tb", "Tb", "Tb", "Tb", "Nd"],
  "frac_coords": [[0.759, 0.881, 0.583], [0.500, 0.500, 0.000], [0.241, 0.119, 0.417], [0.050, 0.426, 0.612], [0.950, 0.574, 0.388], [0.592, 0.191, 0.782], [0.841, 0.726, 0.804], [0.408, 0.809, 0.218], [0.159, 0.274, 0.196], [0.500, 0.000, 0.000]],
  "spacegroup": "P-1",
  "dos_ef_per_ev_cell": 16.084,
  "total_magnetization_mub_per_cell": 0.00
}

ii.
{
  "formula": "Tb4NdEr5",
  "functional": "PBE",
  "state": "relaxed",
  "lattice_angstrom": [[-4.735, 2.702, -3.052], [1.009, 0.189, -7.794], [-5.646, -5.048, -2.106]],
  "species": ["Er", "Er", "Er", "Er", "Er", "Tb", "Tb", "Tb", "Tb", "Nd"],
  "frac_coords": [[0.182, 0.913, 0.621], [0.681, 0.000, 0.000], [0.095, 0.621, 0.087], [0.716, 0.087, 0.379], [0.803, 0.379, 0.913], [0.404, 0.400, 0.700], [0.503, 0.600, 0.300], [0.803, 0.700, 0.600], [0.103, 0.300, 0.400], [0.222, 0.000, 0.000]],
  "spacegroup": "I4",
  "dos_ef_per_ev_cell": 14.287,
  "total_magnetization_mub_per_cell": 0.00
}

Last place for stability: ii

i.
{
  "formula": "Tb3Nd5Er2",
  "functional": "PBE",
  "state": "relaxed",
  "lattice_angstrom": [[11.002, 0.000, 0.000], [5.501, 8.318, 0.400], [5.501, 2.593, 7.914]],
  "species": ["Nd", "Nd", "Nd", "Nd", "Nd", "Nd", "Nd", "Nd", "Nd", "Nd", "Tb", "Tb", "Tb", "Tb", "Tb", "Tb", "Er", "Er", "Er", "Er"],
  "frac_coords": [[0.997, 0.753, 0.753], [0.497, 0.753, 0.753], [0.131, 0.475, 0.262], [0.250, 0.500, 0.500], [0.369, 0.738, 0.525], [0.503, 0.247, 0.247], [0.750, 0.500, 0.500], [0.869, 0.525, 0.738], [0.003, 0.247, 0.247], [0.631, 0.262, 0.475], [0.878, 0.869, 0.375], [0.622, 0.625, 0.131], [0.750, 0.000, 0.000], [0.378, 0.375, 0.869], [0.122, 0.131, 0.625], [0.250, 0.000, 0.000], [0.620, 0.963, 0.797], [0.380, 0.037, 0.203], [0.120, 0.797, 0.963], [0.880, 0.203, 0.037]],
  "spacegroup": "Ibam",
  "dos_ef_per_ev_cell": 30.255,
  "total_magnetization_mub_per_cell": 0.00
}

ii.
{
  "formula": "Tb3Nd5Er2",
  "functional": "PBE",
  "state": "relaxed",
  "lattice_angstrom": [[9.469, -2.088, -2.646], [-3.390, 9.026, -2.834], [-0.606, -0.546, 9.141]],
  "species": ["Er", "Er", "Er", "Er", "Nd", "Nd", "Nd", "Nd", "Nd", "Nd", "Nd", "Nd", "Nd", "Nd", "Tb", "Tb", "Tb", "Tb", "Tb", "Tb"],
  "frac_coords": [[0.976, 0.033, 0.756], [0.024, 0.967, 0.244], [0.720, 0.277, 0.244], [0.280, 0.723, 0.756], [0.124, 0.365, 0.241], [0.383, 0.123, 0.759], [0.522, 0.772, 0.544], [0.981, 0.731, 0.463], [0.228, 0.478, 0.957], [0.478, 0.228, 0.456], [0.876, 0.635, 0.759], [0.617, 0.877, 0.241], [0.772, 0.522, 0.043], [0.019, 0.269, 0.537], [0.220, 0.777, 0.250], [0.728, 0.978, 0.956], [0.272, 0.022, 0.044], [0.470, 0.527, 0.750], [0.530, 0.473, 0.250], [0.780, 0.223, 0.750]],
  "spacegroup": "C2/c",
  "dos_ef_per_ev_cell": 34.250,
  "total_magnetization_mub_per_cell": 0.00
}

Last place for stability: i

i.
{
  "formula": "TbNd3Er6",
  "functional": "PBE",
  "state": "relaxed",
  "lattice_angstrom": [[-6.298, 1.071, 1.219], [-2.362, -8.273, -4.268], [4.166, -1.042, 4.939]],
  "species": ["Nd", "Nd", "Nd", "Er", "Er", "Er", "Er", "Er", "Er", "Tb"],
  "frac_coords": [[0.000, 0.000, 0.000], [0.854, 0.309, 0.866], [0.146, 0.691, 0.134], [0.563, 0.686, 0.698], [0.345, 0.050, 0.702], [0.437, 0.314, 0.302], [0.993, 0.686, 0.551], [0.655, 0.950, 0.298], [0.007, 0.314, 0.449], [0.500, 0.500, 0.000]],
  "spacegroup": "P-1",
  "dos_ef_per_ev_cell": 12.107,
  "total_magnetization_mub_per_cell": 0.00
}

ii.
{
  "formula": "TbNd3Er6",
  "functional": "PBE",
  "state": "relaxed",
  "lattice_angstrom": [[6.291, 0.000, 0.000], [0.000, 10.795, -1.583], [0.000, -3.952, 10.170]],
  "species": ["Er", "Er", "Er", "Er", "Er", "Er", "Er", "Er", "Er", "Er", "Er", "Er", "Nd", "Nd", "Nd", "Nd", "Nd", "Nd", "Tb", "Tb"],
  "frac_coords": [[0.371, 0.047, 0.467], [0.871, 0.953, 0.533], [0.543, 0.619, 0.712], [0.384, 0.959, 0.041], [0.043, 0.381, 0.288], [0.646, 0.275, 0.725], [0.884, 0.041, 0.959], [0.146, 0.725, 0.275], [0.371, 0.533, 0.953], [0.543, 0.288, 0.381], [0.043, 0.712, 0.619], [0.871, 0.467, 0.047], [0.962, 0.062, 0.287], [0.068, 0.389, 0.611], [0.962, 0.713, 0.938], [0.568, 0.611, 0.389], [0.462, 0.287, 0.062], [0.462, 0.938, 0.713], [0.135, 0.199, 0.801], [0.635, 0.801, 0.199]],
  "spacegroup": "Cmc2_1",
  "dos_ef_per_ev_cell": 27.978,
  "total_magnetization_mub_per_cell": 0.00
}

Last place for stability: i

i.
{
  "formula": "TbNdEr6",
  "functional": "PBE",
  "state": "relaxed",
  "lattice_angstrom": [[-4.136, -3.028, -3.220], [3.838, 3.141, -3.472], [7.439, -4.781, 2.941]],
  "species": ["Er", "Er", "Er", "Er", "Er", "Er", "Tb", "Nd"],
  "frac_coords": [[0.298, 0.626, 0.924], [0.638, 0.543, 0.700], [0.843, 0.938, 0.300], [0.157, 0.062, 0.700], [0.702, 0.374, 0.076], [0.362, 0.457, 0.300], [0.500, 0.000, 0.500], [0.000, 0.000, 0.000]],
  "spacegroup": "C2/m",
  "dos_ef_per_ev_cell": 11.637,
  "total_magnetization_mub_per_cell": 0.00
}

ii.
{
  "formula": "TbNdEr6",
  "functional": "PBE",
  "state": "relaxed",
  "lattice_angstrom": [[6.548, -0.824, -1.440], [-3.200, 5.771, -1.440], [-1.841, -2.721, 8.825]],
  "species": ["Er", "Er", "Er", "Er", "Er", "Er", "Tb", "Nd"],
  "frac_coords": [[0.170, 0.670, 0.246], [0.830, 0.330, 0.754], [0.330, 0.830, 0.754], [0.716, 0.716, 0.249], [0.670, 0.170, 0.246], [0.284, 0.284, 0.751], [0.000, 0.000, 0.000], [0.500, 0.500, 0.500]],
  "spacegroup": "C2/m",
  "dos_ef_per_ev_cell": 16.962,
  "total_magnetization_mub_per_cell": 0.00
}

Last place for stability: i